Here is a relaxed Dy2MgPd3 crystal from Alexandria. Energies are from PBE.

Summary:
Total magnetization ... 0.00 μB/cell
Space-group type ... Immm (71)
Crystal system ... orthorhombic
ΔE to the lowest computed polymorph ... 194.6 meV/atom
Energy of formation from the pure elements ... -638.7 meV per atom

```
Dy2MgPd3
1.0
4.352 0.000 0.000
0.000 5.530 0.000
-2.176 -2.765 5.426
Dy Mg Pd
2 1 3
Direct
0.682 0.182 0.365
0.318 0.818 0.635
0.000 0.500 0.000
0.366 0.366 0.732
0.000 0.000 0.000
0.634 0.634 0.268
```

---

Here is a relaxed Tl2ZnAu crystal from Alexandria. Energies are from PBE.

Summary:
Total magnetization ... 0.00 μB/cell
Space-group type ... R3m (160)
Crystal system ... trigonal
ΔE to the lowest computed polymorph ... 27.8 meV/atom
Energy of formation from the pure elements ... 15.1 meV per atom

```
Tl2ZnAu
1.0
-1.146 2.050 8.378
-4.620 2.237 7.025
-3.182 -1.059 8.028
Au Tl Zn
1 2 1
Direct
0.762 0.762 0.762
0.014 0.014 0.014
0.237 0.237 0.237
0.487 0.487 0.487
```

---

Here is a relaxed NaAcMg2Cd4 crystal from Alexandria. Energies are from PBE.

Summary:
Total magnetization ... 0.00 μB/cell
Space-group type ... R-3m (166)
Crystal system ... trigonal
Energy of formation from the pure elements ... -164.2 meV per atom

```
NaAcMg2Cd4
1.0
-0.462 -3.315 -3.814
0.314 -4.981 0.916
-9.218 -3.088 0.424
Na Ac Mg Cd
1 1 2 4
Direct
0.500 0.500 0.500
0.000 0.000 0.000
0.756 0.756 0.732
0.244 0.244 0.268
0.392 0.392 0.824
0.872 0.872 0.384
0.128 0.128 0.616
0.608 0.608 0.176
```

---

Here is a relaxed NaSrSn crystal from Alexandria. Energies are from PBE.

Summary:
Total magnetization ... 0.00 μB/cell
Space-group type ... P2_1/m (11)
Crystal system ... monoclinic
ΔE to the lowest computed polymorph ... 23.4 meV/atom
Energy of formation from the pure elements ... -388.3 meV per atom

```
NaSrSn
1.0
-1.985 -1.007 -4.374
1.398 -4.300 0.355
-9.715 -2.970 2.309
Na Sr Sn
2 2 2
Direct
0.796 0.415 0.682
0.378 0.915 0.517
0.001 0.415 0.271
0.174 0.915 0.929
0.636 0.415 0.004
0.539 0.915 0.195
```

---

Here is a relaxed Rb2InBi crystal from Alexandria. Energies are from PBE.

Summary:
Total magnetization ... 0.00 μB/cell
Space-group type ... Cmcm (63)
Crystal system ... orthorhombic
ΔE to the lowest computed polymorph ... 44.9 meV/atom
Energy of formation from the pure elements ... -180.2 meV per atom

```
Rb2InBi
1.0
6.551 0.000 0.000
0.000 7.109 -2.065
0.000 0.660 7.374
Rb In Bi
4 2 2
Direct
0.750 0.022 0.673
0.250 0.978 0.327
0.250 0.327 0.978
0.750 0.673 0.022
0.000 0.500 0.500
0.500 0.500 0.500
0.750 0.205 0.205
0.250 0.795 0.795
```

---

Here is a relaxed NiS6Br4 crystal from Alexandria. Energies are from PBE.

Summary:
Total magnetization ... 4.19 μB/cell
Space-group type ... P6_3mc (186)
Crystal system ... hexagonal
Formation energy (no corrections) ... 0.000 eV/atom

```
NiS6Br4
1.0
-6.161 6.838 -4.154
-7.670 -6.483 0.705
1.939 6.346 7.570
Ni S Br
2 12 8
Direct
0.033 0.667 0.334
0.533 0.333 0.666
0.521 0.775 0.551
0.521 0.449 0.225
0.521 0.775 0.225
0.021 0.225 0.449
0.021 0.551 0.775
0.021 0.225 0.775
0.445 0.557 0.114
0.445 0.886 0.443
0.445 0.557 0.443
0.945 0.443 0.886
0.945 0.114 0.557
0.945 0.443 0.557
0.803 0.667 0.333
0.303 0.333 0.667
0.098 0.793 0.587
0.098 0.413 0.207
0.098 0.793 0.207
0.598 0.207 0.413
0.598 0.587 0.793
0.598 0.207 0.793
```

---

Here is a relaxed BC3 crystal from Alexandria. Energies are from PBE.

Summary:
Total magnetization ... 0.00 μB/cell
Space-group type ... P1 (1)
Crystal system ... triclinic
ΔE to the lowest computed polymorph ... 85.2 meV/atom
Energy of formation from the pure elements ... 325.9 meV per atom

```
BC3
1.0
-0.629 -5.363 -4.413
2.882 -1.886 -6.064
-0.401 1.644 6.767
B C
3 9
Direct
0.069 0.340 0.726
0.552 0.282 0.270
0.636 0.951 0.671
0.500 0.165 0.337
0.121 0.123 0.997
0.014 0.004 0.012
0.495 0.836 0.661
0.108 0.783 0.323
0.996 0.664 0.332
0.623 0.623 0.997
0.498 0.515 0.999
0.138 0.463 0.673
```

---

Here is a relaxed SrRh3 crystal from Alexandria. Energies are from PBE.

Summary:
Total magnetization ... 0.34 μB/cell
Space-group type ... P-6m2 (187)
Crystal system ... hexagonal
Energy of formation from the pure elements ... 499.5 meV per atom

```
SrRh3
1.0
-1.530 -0.180 2.549
0.223 -2.382 -1.774
7.650 -2.567 4.410
Rh Sr
3 1
Direct
0.000 0.000 0.028
0.000 0.000 0.472
0.667 0.333 0.250
0.667 0.333 0.750
```

---

Here is a relaxed Ca2ReSi crystal from Alexandria. Energies are from PBE.

Summary:
Total magnetization ... 0.00 μB/cell
Space-group type ... Cmmm (65)
Crystal system ... orthorhombic
Formation energy (no corrections) ... 0.443 eV/atom

```
Ca2ReSi
1.0
6.746 0.005 0.019
-2.784 4.802 -0.004
1.177 0.684 2.476
Ca Re Si
2 1 1
Direct
0.000 0.000 0.000
0.500 0.000 0.500
0.000 0.500 0.500
0.500 0.500 0.000
```

---

Here is a relaxed MgReGe2 crystal from Alexandria. Energies are from PBE.

Summary:
Total magnetization ... 0.00 μB/cell
Space-group type ... R3m (160)
Crystal system ... trigonal
Energy of formation from the pure elements ... 113.3 meV per atom

```
MgReGe2
1.0
3.121 0.000 0.000
1.561 2.703 0.000
1.561 0.901 8.235
Mg Re Ge
1 1 2
Direct
0.502 0.502 0.495
0.666 0.666 0.002
0.074 0.074 0.777
0.258 0.258 0.226
```

---

Here is a relaxed Re2Ni4Bi crystal from Alexandria. Energies are from PBE.

Summary:
Total magnetization ... 1.58 μB/cell
Space-group type ... I4/mmm (139)
Crystal system ... tetragonal
Energy of formation from the pure elements ... 1466.1 meV per atom

```
Re2Ni4Bi
1.0
4.734 0.000 0.000
0.000 4.734 0.000
2.367 2.367 6.027
Re Bi Ni
2 1 4
Direct
0.596 0.596 0.807
0.404 0.404 0.193
0.000 0.000 0.000
0.788 0.788 0.424
0.212 0.212 0.576
0.000 0.500 0.000
0.500 0.000 0.000
```

---

Here is a relaxed MnZn4Pd3 crystal from Alexandria. Energies are from PBE.

Summary:
Total magnetization ... 3.06 μB/cell
Space-group type ... P4/mmm (123)
Crystal system ... tetragonal
Energy of formation from the pure elements ... -386.4 meV per atom

```
MnZn4Pd3
1.0
3.131 0.000 0.000
0.000 3.131 0.000
0.000 0.000 11.665
Zn Mn Pd
4 1 3
Direct
0.000 0.000 0.878
0.000 0.000 0.122
0.000 0.000 0.373
0.000 0.000 0.627
0.500 0.500 0.000
0.500 0.500 0.245
0.500 0.500 0.500
0.500 0.500 0.755
```

---

Here is a relaxed K2AcAlO4 crystal from Alexandria. Energies are from PBE.

Summary:
Total magnetization ... 0.00 μB/cell
Space-group type ... I-4 (82)
Crystal system ... tetragonal
Formation energy (no corrections) ... -2.462 eV/atom

```
K2AcAlO4
1.0
-2.553 -2.700 4.820
5.781 -1.113 -1.545
1.396 5.924 0.074
K Ac Al O
2 1 1 4
Direct
0.500 0.750 0.250
0.000 0.000 0.000
0.500 0.250 0.750
0.000 0.500 0.500
0.640 0.406 0.450
0.044 0.233 0.594
0.956 0.550 0.189
0.360 0.811 0.767
```

---

Here is a relaxed MgRe crystal from Alexandria. Energies are from PBE.

Summary:
Total magnetization ... 0.00 μB/cell
Space-group type ... Fm-3m (225)
Crystal system ... cubic
ΔE to the lowest computed polymorph ... 1710.2 meV/atom
Energy of formation from the pure elements ... 1776.8 meV per atom

```
MgRe
1.0
-3.326 0.790 1.370
-1.542 -2.229 2.494
-0.336 1.103 3.498
Mg Re
1 1
Direct
0.500 0.500 0.500
0.000 0.000 0.000
```

---

Here is a relaxed Tl2In3Hg6Bi crystal from Alexandria. Energies are from PBE.

Summary:
Total magnetization ... 0.00 μB/cell
Space-group type ... P4/mmm (123)
Crystal system ... tetragonal
Energy of formation from the pure elements ... 149.0 meV per atom

```
Tl2In3Hg6Bi
1.0
4.401 0.000 0.000
0.000 4.401 0.000
0.000 0.000 20.208
Tl In Hg Bi
2 3 6 1
Direct
0.500 0.500 0.201
0.500 0.500 0.799
0.000 0.000 0.282
0.000 0.000 0.718
0.000 0.000 0.000
0.000 0.500 0.615
0.500 0.000 0.385
0.500 0.000 0.615
0.000 0.000 0.138
0.000 0.500 0.385
0.000 0.000 0.862
0.500 0.500 0.500
```

---

Here is a relaxed MgZrSc crystal from Alexandria. Energies are from PBE.

Summary:
Total magnetization ... 1.09 μB/cell
Space-group type ... F-43m (216)
Crystal system ... cubic
ΔE to the lowest computed polymorph ... 736.7 meV/atom
Energy of formation from the pure elements ... 686.6 meV per atom

```
MgZrSc
1.0
4.833 0.000 0.000
2.417 4.186 0.000
2.417 1.395 3.946
Mg Sc Zr
1 1 1
Direct
0.750 0.750 0.750
0.000 0.000 0.000
0.500 0.500 0.500
```

---

Here is a relaxed AcNiBi crystal from Alexandria. Energies are from PBE.

Summary:
Total magnetization ... 0.00 μB/cell
Space-group type ... F-43m (216)
Crystal system ... cubic
ΔE to the lowest computed polymorph ... 0.0 meV/atom
Energy of formation from the pure elements ... -561.8 meV per atom

```
AcNiBi
1.0
-4.711 -0.549 -1.267
-3.200 -1.893 3.206
-3.436 2.865 2.021
Ni Ac Bi
1 1 1
Direct
0.250 0.250 0.250
0.500 0.500 0.500
0.000 0.000 0.000
```

---

Here is a relaxed Ac3Cu2Ni2As4 crystal from Alexandria. Energies are from PBE.

Summary:
Total magnetization ... 0.00 μB/cell
Space-group type ... P-3m1 (164)
Crystal system ... trigonal
Energy of formation from the pure elements ... -795.0 meV per atom

```
Ac3Cu2Ni2As4
1.0
-2.973 1.748 2.490
-0.247 -4.118 -1.037
8.402 -3.681 12.616
Ac Cu Ni As
3 2 2 4
Direct
0.000 0.000 0.721
0.000 0.000 0.000
0.000 0.000 0.279
0.667 0.333 0.435
0.333 0.667 0.565
0.667 0.333 0.861
0.333 0.667 0.139
0.667 0.333 0.138
0.333 0.667 0.862
0.667 0.333 0.596
0.333 0.667 0.404
```

---

Here is a relaxed LiUGa4 crystal from Alexandria. Energies are from PBE.

Summary:
Total magnetization ... 3.09 μB/cell
Space-group type ... F-43m (216)
Crystal system ... cubic
Energy of formation from the pure elements ... -52.4 meV per atom

```
LiUGa4
1.0
5.450 0.000 0.000
2.725 4.720 0.000
2.725 1.573 4.450
U Ga Li
1 4 1
Direct
0.000 0.000 0.000
0.625 0.625 0.125
0.625 0.125 0.625
0.625 0.625 0.625
0.125 0.625 0.625
0.250 0.250 0.250
```

---

Here is a relaxed ZrBe2Au crystal from Alexandria. Energies are from PBE.

Summary:
Total magnetization ... 0.00 μB/cell
Space-group type ... Pmma (51)
Crystal system ... orthorhombic
ΔE to the lowest computed polymorph ... 0.0 meV/atom
Energy of formation from the pure elements ... -354.2 meV per atom

```
ZrBe2Au
1.0
3.688 0.000 0.000
0.000 4.594 0.000
0.000 0.000 6.610
Zr Be Au
2 4 2
Direct
0.000 0.250 0.699
0.000 0.750 0.301
0.000 0.750 0.913
0.000 0.250 0.087
0.500 0.000 0.000
0.500 0.500 0.000
0.500 0.750 0.650
0.500 0.250 0.350
```

---

Here is a relaxed LaCuGe2Au crystal from Alexandria. Energies are from PBE.

Summary:
Total magnetization ... 0.00 μB/cell
Space-group type ... I-4m2 (119)
Crystal system ... tetragonal
Energy of formation from the pure elements ... -576.6 meV per atom

```
LaCuGe2Au
1.0
4.349 0.000 0.000
0.000 4.349 0.000
-2.175 -2.175 5.280
La Cu Ge Au
1 1 2 1
Direct
0.000 0.000 0.000
0.250 0.750 0.500
0.619 0.619 0.239
0.381 0.381 0.761
0.750 0.250 0.500
```

---

Here is a relaxed SrCu2Sn2 crystal from Alexandria. Energies are from PBE.

Summary:
Total magnetization ... 0.00 μB/cell
Space-group type ... P4/mbm (127)
Crystal system ... tetragonal
Energy of formation from the pure elements ... 20.4 meV per atom

```
SrCu2Sn2
1.0
8.322 0.000 0.000
0.000 8.322 0.000
0.000 0.000 3.227
Sr Sn Cu
2 4 4
Direct
0.000 0.000 0.000
0.500 0.500 0.000
0.363 0.863 0.000
0.863 0.637 0.000
0.637 0.137 0.000
0.137 0.363 0.000
0.152 0.652 0.500
0.652 0.848 0.500
0.848 0.348 0.500
0.348 0.152 0.500
```

---

Here is a relaxed LaTb4Er15 crystal from Alexandria. Energies are from PBE.

Summary:
Total magnetization ... 0.00 μB/cell
Space-group type ... P4/mmm (123)
Crystal system ... tetragonal
Energy of formation from the pure elements ... 24.6 meV per atom

```
LaTb4Er15
1.0
4.995 0.000 0.000
0.000 4.995 0.000
0.000 0.000 24.940
La Tb Er
1 4 15
Direct
0.000 0.000 0.000
0.000 0.000 0.201
0.000 0.000 0.401
0.000 0.000 0.599
0.000 0.000 0.799
0.500 0.500 0.000
0.500 0.500 0.202
0.500 0.500 0.401
0.500 0.500 0.599
0.500 0.500 0.798
0.500 0.000 0.103
0.500 0.000 0.301
0.500 0.000 0.500
0.500 0.000 0.699
0.500 0.000 0.897
0.000 0.500 0.103
0.000 0.500 0.301
0.000 0.500 0.500
0.000 0.500 0.699
0.000 0.500 0.897
```

---

Here is a relaxed SrCaLa2Bi crystal from Alexandria. Energies are from PBE.

Summary:
Total magnetization ... 0.00 μB/cell
Space-group type ... P4/mmm (123)
Crystal system ... tetragonal
Energy of formation from the pure elements ... -67.6 meV per atom

```
SrCaLa2Bi
1.0
6.299 0.000 0.000
0.000 6.080 0.000
0.000 0.000 6.299
Sr Ca Bi La
1 1 1 2
Direct
0.500 0.500 0.500
0.000 0.500 0.000
0.000 0.000 0.000
0.000 0.000 0.500
0.500 0.000 0.000
```

---

Here is a relaxed Li2BrCl crystal from Alexandria. Energies are from PBE.

Summary:
Total magnetization ... 0.00 μB/cell
Space-group type ... Immm (71)
Crystal system ... orthorhombic
ΔE to the lowest computed polymorph ... 125.4 meV/atom
Formation energy (no corrections) ... -1.556 eV/atom

```
Li2BrCl
1.0
-1.229 -2.314 -5.099
-3.811 -2.448 3.513
1.275 4.873 -2.736
Br Cl Li
1 1 2
Direct
0.750 0.250 0.500
0.250 0.750 0.500
0.015 0.015 0.000
0.485 0.485 0.000
```

---

| no. | E (eV per cell) |
| --- | --- |
| 1 | -30.21 |
| 2 | -9.22 |
| 3 | -13.59 |
| 4 | -16.34 |
| 5 | -18.55 |
| 6 | -74.47 |
| 7 | -99.14 |
| 8 | -21.74 |
| 9 | -20.10 |
| 10 | -22.82 |
| 11 | -41.64 |
| 12 | -32.93 |
| 13 | -49.58 |
| 14 | -10.49 |
| 15 | -16.85 |
| 16 | -14.41 |
| 17 | -15.46 |
| 18 | -59.42 |
| 19 | -25.62 |
| 20 | -41.39 |
| 21 | -24.42 |
| 22 | -35.56 |
| 23 | -91.40 |
| 24 | -17.76 |
| 25 | -13.57 |